# PBE FeNi6Pt2, optimized geometry
# Relative energy among the computed polymorphs = 0 meV per atom
# Energy of formation = -73 meV/atom
# Electronic total energy = -6.21 eV per atom
# Total magnetization = 7.067 μB/f.u.
data_FeNi6Pt2
_space_group_name_H-M_alt 'C 1 2/m 1'
_space_group_IT_number 12
_cell_length_a 8.248
_cell_length_b 3.644
_cell_length_c 7.743
_cell_angle_alpha 90.00
_cell_angle_beta 109.43
_cell_angle_gamma 90.00
loop_
_space_group_symop_operation_xyz
'x,y,z'
'-x,-y,-z'
'-x,y,-z'
'x,-y,z'
'x+1/2,y+1/2,z'
'-x+1/2,-y+1/2,-z'
'-x+1/2,y+1/2,-z'
'x+1/2,-y+1/2,z'
loop_
_atom_site_label
_atom_site_fract_x
_atom_site_fract_y
_atom_site_fract_z
Fe1 0.000 0.000 0.000
Ni1 0.005 0.000 0.683
Ni2 0.157 0.500 0.209
Ni3 0.169 0.500 0.897
Pt1 0.168 0.500 0.566